[1]
DFT (GGA-PBE) results for crystalline HgPdSO at its relaxed geometry.

Unit cell a=4.074 b=4.074 c=10.764 alpha=90.00 beta=90.00 gamma=90.00
Space group P4/nmm (No. 129, origin choice 2)
One atom of each set of equivalent atoms:
Hg: 0.250 0.250 0.036 x2
Pd: 0.250 0.750 0.500 x2
S: 0.250 0.250 0.621 x2
O: 0.250 0.250 0.761 x2

Results
The calculation puts the energy above the most stable polymorph in this dataset at 0 meV/atom. The crystal system is tetragonal.

***

[2]
DFT (GGA-PBE) results for crystalline HgPdSO at its relaxed geometry.

Unit cell a=3.678 b=3.678 c=10.137 alpha=90.00 beta=90.00 gamma=90.00
Space group P4/nmm (No. 129, origin choice 2)
One atom of each set of equivalent atoms:
Hg: 0.250 0.250 0.131 x2
Pd: 0.250 0.250 0.623 x2
S: 0.250 0.250 0.375 x2
O: 0.250 0.750 0.000 x2

Results
The calculation puts the energy above the most stable polymorph in this dataset at 432 meV/atom. The crystal system is tetragonal.

***

[3]
DFT (GGA-PBE) results for crystalline HgPdSO at its relaxed geometry.

Unit cell a=3.275 b=12.312 c=6.841 alpha=90.00 beta=90.00 gamma=90.00
Space group Cmc2_1 (No. 36)
One atom of each set of equivalent atoms:
Hg: 0.000 0.037 0.000 x4
Pd: 0.000 0.279 0.201 x4
S: 0.000 0.343 0.771 x4
O: 0.000 0.106 0.704 x4

Results
The calculation puts the energy above the most stable polymorph in this dataset at 123 meV/atom. The crystal system is orthorhombic.

***

[4]
DFT (GGA-PBE) results for crystalline HgPdSO at its relaxed geometry.

Unit cell a=4.146 b=4.146 c=8.136 alpha=90.00 beta=90.00 gamma=90.00
Space group P4/nmm (No. 129, origin choice 2)
One atom of each set of equivalent atoms:
Hg: 0.250 0.250 0.165 x2
Pd: 0.250 0.250 0.536 x2
S: 0.250 0.250 0.837 x2
O: 0.250 0.750 0.500 x2

Results
The calculation puts the energy above the most stable polymorph in this dataset at 298 meV/atom. The crystal system is tetragonal.

***

[5]
DFT (GGA-PBE) results for crystalline HgPdSO at its relaxed geometry.

Unit cell a=6.005 b=3.516 c=12.392 alpha=90.00 beta=90.00 gamma=90.00
Space group Pnma (No. 62)
One atom of each set of equivalent atoms:
Hg: 0.234 0.250 0.010 x4
Pd: 0.064 0.250 0.751 x4
S: 0.164 0.250 0.344 x4
O: 0.189 0.750 0.135 x4

Results
The calculation puts the energy above the most stable polymorph in this dataset at 165 meV/atom. The crystal system is orthorhombic.

***

[6]
DFT (GGA-PBE) results for crystalline HgPdSO at its relaxed geometry.

Unit cell a=4.680 b=7.125 c=8.898 alpha=90.00 beta=90.00 gamma=90.00
Space group P2_12_12_1 (No. 19)
One atom of each set of equivalent atoms:
Hg: 0.070 0.161 0.406 x4
Pd: 0.080 0.651 0.447 x4
S: 0.076 0.916 0.594 x4
O: 0.082 0.419 0.298 x4

Results
The calculation puts the energy above the most stable polymorph in this dataset at 167 meV/atom. The crystal system is orthorhombic.